A plane-wave DFT calculation with PBE-GGA was carried out for a geometry-optimized PmAgAsPb structure.

Cell and atoms, written as POSCAR:
```
PmAgAsPb
1.0
-3.277 3.468 -2.007
-4.370 1.185 2.508
-0.532 4.646 2.219
Pm As Pb Ag
1 1 1 1
Cartesian
-4.090 4.649 1.360
-6.134 6.974 2.040
0.000 0.000 0.000
-2.045 2.325 0.680
```

* ρ: 9.06 g/cm3
* space-group type: F-43m
* energy relative to the elements: -0.355 eV per atom